(1)
First-principles (PBE) data for a geometry-optimized ScAlIr2 structure, as listed in OQMD via LeMat-Bulk. Values from VASP.

Output
Space group: P4/mmm (123)
Raw total energy in eV/atom: -7.932
Crystal system: tetragonal

```
&SYSTEM
  ibrav = 0, nat = 4, ntyp = 3
/
ATOMIC_SPECIES
Sc 44.96 Sc.upf
Al 26.98 Al.upf
Ir 192.22 Ir.upf
ATOMIC_POSITIONS angstrom
Sc 0.000 0.000 0.000
Al 2.179 2.179 0.000
Ir 0.000 2.179 1.604
Ir 2.179 0.000 1.604
CELL_PARAMETERS angstrom
4.359 0.000 0.000
0.000 4.359 0.000
0.000 0.000 3.208
```



(2)
First-principles (PBE) data for a geometry-optimized TmSc2Al3Si2Ir structure, as listed in OQMD via LeMat-Bulk. Values from VASP.

Output
Space group: Amm2 (38)
Raw total energy in eV/atom: -6.208
Crystal system: orthorhombic

```
&SYSTEM
  ibrav = 0, nat = 9, ntyp = 5
/
ATOMIC_SPECIES
Tm 168.93 Tm.upf
Sc 44.96 Sc.upf
Al 26.98 Al.upf
Si 28.09 Si.upf
Ir 192.22 Ir.upf
ATOMIC_POSITIONS angstrom
Tm 0.000 0.000 0.000
Sc 0.000 -2.434 2.491
Sc 0.000 2.434 2.491
Al 2.058 0.000 2.276
Al 2.058 -1.400 4.654
Al 2.058 1.400 4.654
Si 2.058 -3.845 3.874
Si 2.058 3.845 3.874
Ir 0.000 0.000 3.813
CELL_PARAMETERS angstrom
4.115 0.000 0.000
0.000 5.824 3.332
0.000 -5.824 3.332
```



(3)
First-principles (PBE) data for a geometry-optimized YScAl2Ir4 structure, as listed in OQMD via LeMat-Bulk. Values from VASP.

Output
Space group: P-6m2 (187)
Raw total energy in eV/atom: -7.694
Crystal system: hexagonal

```
&SYSTEM
  ibrav = 0, nat = 8, ntyp = 4
/
ATOMIC_SPECIES
Y 88.91 Y.upf
Sc 44.96 Sc.upf
Al 26.98 Al.upf
Ir 192.22 Ir.upf
ATOMIC_POSITIONS angstrom
Y 0.000 0.000 0.000
Sc 0.000 2.460 4.492
Al 2.131 1.230 2.389
Al 2.131 1.230 6.595
Ir 0.000 0.000 3.164
Ir 0.000 0.000 5.820
Ir 0.000 2.460 1.627
Ir 0.000 2.460 7.357
CELL_PARAMETERS angstrom
4.261 0.000 0.000
-2.131 3.690 0.000
0.000 0.000 8.984
```



(4)
First-principles (PBE) data for a geometry-optimized Al6SiIr2 structure, as listed in OQMD via LeMat-Bulk. Values from VASP.

Output
Space group: P-62m (189)
Raw total energy in eV/atom: -5.477
Crystal system: hexagonal

```
&SYSTEM
  ibrav = 0, nat = 9, ntyp = 3
/
ATOMIC_SPECIES
Al 26.98 Al.upf
Si 28.09 Si.upf
Ir 192.22 Ir.upf
ATOMIC_POSITIONS angstrom
Al -1.361 2.357 0.000
Al -2.535 4.390 1.558
Al 1.019 1.765 1.558
Al 2.722 0.000 0.000
Al 2.193 3.798 0.000
Al 5.070 0.000 1.558
Si 0.000 0.000 0.000
Ir 0.000 4.104 1.558
Ir 3.554 2.052 1.558
CELL_PARAMETERS angstrom
7.108 0.000 0.000
-3.554 6.156 0.000
0.000 0.000 3.116
```



(5)
First-principles (PBE) data for a geometry-optimized Al2SiIr structure, as listed in OQMD via LeMat-Bulk. Values from VASP.

Output
Space group: F-43m (216)
Raw total energy in eV/atom: -5.602
Crystal system: cubic

```
&SYSTEM
  ibrav = 0, nat = 4, ntyp = 3
/
ATOMIC_SPECIES
Al 26.98 Al.upf
Si 28.09 Si.upf
Ir 192.22 Ir.upf
ATOMIC_POSITIONS angstrom
Al 0.000 0.000 0.000
Al 1.537 1.537 1.537
Si 3.074 3.074 3.074
Ir 4.610 4.610 4.610
CELL_PARAMETERS angstrom
0.000 3.074 3.074
3.074 0.000 3.074
3.074 3.074 0.000
```



(6)
First-principles (PBE) data for a geometry-optimized Y2AlSiIr structure, as listed in OQMD via LeMat-Bulk. Values from VASP.

Output
Space group: Imm2 (44)
Raw total energy in eV/atom: -6.980
Crystal system: orthorhombic

```
&SYSTEM
  ibrav = 0, nat = 5, ntyp = 4
/
ATOMIC_SPECIES
Y 88.91 Y.upf
Al 26.98 Al.upf
Si 28.09 Si.upf
Ir 192.22 Ir.upf
ATOMIC_POSITIONS angstrom
Y 0.000 1.789 0.000
Y 0.000 6.959 0.000
Al 0.000 0.000 2.816
Si 0.000 4.374 1.581
Ir 2.063 0.000 1.240
CELL_PARAMETERS angstrom
-2.063 4.374 2.839
2.063 -4.374 2.839
2.063 4.374 -2.839
```



(7)
First-principles (PBE) data for a geometry-optimized Y3Al3SiIr2 structure, as listed in OQMD via LeMat-Bulk. Values from VASP.

Output
Space group: P-62m (189)
Raw total energy in eV/atom: -6.704
Crystal system: hexagonal

```
&SYSTEM
  ibrav = 0, nat = 9, ntyp = 4
/
ATOMIC_SPECIES
Y 88.91 Y.upf
Al 26.98 Al.upf
Si 28.09 Si.upf
Ir 192.22 Ir.upf
ATOMIC_POSITIONS angstrom
Y -2.163 3.746 0.000
Y 1.464 2.535 0.000
Y 4.325 0.000 0.000
Al -0.956 1.655 1.951
Al 1.911 0.000 1.951
Al 2.671 4.626 1.951
Si 0.000 0.000 0.000
Ir 0.000 4.187 1.951
Ir 3.626 2.094 1.951
CELL_PARAMETERS angstrom
7.253 0.000 0.000
-3.626 6.281 0.000
0.000 0.000 3.902
```



(8)
First-principles (PBE) data for a geometry-optimized Y3Al3SiIr2 structure, as listed in OQMD via LeMat-Bulk. Values from VASP.

Output
Space group: P-62m (189)
Raw total energy in eV/atom: -6.298
Crystal system: hexagonal

```
&SYSTEM
  ibrav = 0, nat = 9, ntyp = 4
/
ATOMIC_SPECIES
Y 88.91 Y.upf
Al 26.98 Al.upf
Si 28.09 Si.upf
Ir 192.22 Ir.upf
ATOMIC_POSITIONS angstrom
Y -2.839 4.918 0.000
Y 1.147 1.987 0.000
Y 5.679 0.000 0.000
Al -1.537 2.662 1.583
Al 3.073 0.000 1.583
Al 2.450 4.243 1.583
Si 0.000 0.000 1.583
Ir 0.000 4.603 0.000
Ir 3.987 2.302 0.000
CELL_PARAMETERS angstrom
7.973 0.000 0.000
-3.987 6.905 0.000
0.000 0.000 3.166
```



(9)
First-principles (PBE) data for a geometry-optimized SmTmAlIr2 structure, as listed in OQMD via LeMat-Bulk. Values from VASP.

Output
Space group: Imm2 (44)
Raw total energy in eV/atom: -7.036
Crystal system: orthorhombic

```
&SYSTEM
  ibrav = 0, nat = 5, ntyp = 4
/
ATOMIC_SPECIES
Sm 150.36 Sm.upf
Tm 168.93 Tm.upf
Al 26.98 Al.upf
Ir 192.22 Ir.upf
ATOMIC_POSITIONS angstrom
Sm 0.000 0.000 0.000
Tm 0.000 0.000 3.403
Al 0.000 2.918 1.700
Ir 2.052 1.409 1.702
Ir 0.000 1.509 5.996
CELL_PARAMETERS angstrom
-2.052 2.918 4.294
2.052 -2.918 4.294
2.052 2.918 -4.294
```



(10)
First-principles (PBE) data for a geometry-optimized SmYAlIr2 structure, as listed in OQMD via LeMat-Bulk. Values from VASP.

Output
Space group: Imm2 (44)
Raw total energy in eV/atom: -7.410
Crystal system: orthorhombic

```
&SYSTEM
  ibrav = 0, nat = 5, ntyp = 4
/
ATOMIC_SPECIES
Sm 150.36 Sm.upf
Y 88.91 Y.upf
Al 26.98 Al.upf
Ir 192.22 Ir.upf
ATOMIC_POSITIONS angstrom
Sm 0.000 0.000 0.000
Y 0.000 0.000 3.430
Al 0.000 2.930 1.715
Ir 2.062 1.416 1.714
Ir 0.000 1.515 6.039
CELL_PARAMETERS angstrom
-2.062 2.930 4.325
2.062 -2.930 4.325
2.062 2.930 -4.325
```



(11)
First-principles (PBE) data for a geometry-optimized AlSn2Ir structure, as listed in OQMD via LeMat-Bulk. Values from VASP.

Output
Space group: F-43m (216)
Raw total energy in eV/atom: -4.957
Crystal system: cubic

```
&SYSTEM
  ibrav = 0, nat = 4, ntyp = 3
/
ATOMIC_SPECIES
Al 26.98 Al.upf
Sn 118.71 Sn.upf
Ir 192.22 Ir.upf
ATOMIC_POSITIONS angstrom
Al 0.000 0.000 0.000
Sn 3.389 3.389 3.389
Sn 5.083 5.083 5.083
Ir 1.694 1.694 1.694
CELL_PARAMETERS angstrom
0.000 3.389 3.389
3.389 0.000 3.389
3.389 3.389 0.000
```



(12)
First-principles (PBE) data for a geometry-optimized AlSnIr structure, as listed in OQMD via LeMat-Bulk. Values from VASP.

Output
Space group: F-43m (216)
Raw total energy in eV/atom: -5.989
Crystal system: cubic

```
&SYSTEM
  ibrav = 0, nat = 3, ntyp = 3
/
ATOMIC_SPECIES
Al 26.98 Al.upf
Sn 118.71 Sn.upf
Ir 192.22 Ir.upf
ATOMIC_POSITIONS angstrom
Al 0.000 0.000 0.000
Sn 3.081 3.081 3.081
Ir 1.540 1.540 1.540
CELL_PARAMETERS angstrom
0.000 3.081 3.081
3.081 0.000 3.081
3.081 3.081 0.000
```



(13)
First-principles (PBE) data for a geometry-optimized Al6SnIr2 structure, as listed in OQMD via LeMat-Bulk. Values from VASP.

Output
Space group: P-62m (189)
Raw total energy in eV/atom: -5.173
Crystal system: hexagonal

```
&SYSTEM
  ibrav = 0, nat = 9, ntyp = 3
/
ATOMIC_SPECIES
Al 26.98 Al.upf
Sn 118.71 Sn.upf
Ir 192.22 Ir.upf
ATOMIC_POSITIONS angstrom
Al -1.412 2.446 0.000
Al -2.500 4.329 1.666
Al 1.119 1.938 1.666
Al 2.824 0.000 0.000
Al 2.206 3.821 0.000
Al 4.999 0.000 1.666
Sn 0.000 0.000 0.000
Ir 0.000 4.178 1.666
Ir 3.618 2.089 1.666
CELL_PARAMETERS angstrom
7.236 0.000 0.000
-3.618 6.267 0.000
0.000 0.000 3.333
```



(14)
First-principles (PBE) data for a geometry-optimized SrAlSnIr2 structure, as listed in OQMD via LeMat-Bulk. Values from VASP.

Output
Space group: P4/nmm (129)
Raw total energy in eV/atom: -6.007
Crystal system: tetragonal

```
&SYSTEM
  ibrav = 0, nat = 10, ntyp = 4
/
ATOMIC_SPECIES
Sr 87.62 Sr.upf
Al 26.98 Al.upf
Sn 118.71 Sn.upf
Ir 192.22 Ir.upf
ATOMIC_POSITIONS angstrom
Sr 1.101 1.101 2.672
Sr 3.303 3.303 8.174
Al 1.101 3.303 0.000
Al 3.303 1.101 0.000
Sn 1.101 1.101 6.899
Sn 3.303 3.303 3.947
Ir 1.101 1.101 9.598
Ir 1.101 3.303 5.423
Ir 3.303 1.101 5.423
Ir 3.303 3.303 1.248
CELL_PARAMETERS angstrom
4.405 0.000 0.000
0.000 4.405 0.000
0.000 0.000 10.846
```



(15)
First-principles (PBE) data for a geometry-optimized Y3Al3SnIr2 structure, as listed in OQMD via LeMat-Bulk. Values from VASP.

Output
Space group: P-62m (189)
Raw total energy in eV/atom: -6.496
Crystal system: hexagonal

```
&SYSTEM
  ibrav = 0, nat = 9, ntyp = 4
/
ATOMIC_SPECIES
Y 88.91 Y.upf
Al 26.98 Al.upf
Sn 118.71 Sn.upf
Ir 192.22 Ir.upf
ATOMIC_POSITIONS angstrom
Y -1.513 2.620 0.000
Y 3.025 0.000 0.000
Y 2.178 3.773 0.000
Al -2.636 4.566 2.012
Al 1.055 1.827 2.012
Al 5.273 0.000 2.012
Sn 0.000 0.000 0.000
Ir 0.000 4.262 2.012
Ir 3.691 2.131 2.012
CELL_PARAMETERS angstrom
7.382 0.000 0.000
-3.691 6.393 0.000
0.000 0.000 4.024
```



(16)
First-principles (PBE) data for a geometry-optimized Y3Al3SnIr2 structure, as listed in OQMD via LeMat-Bulk. Values from VASP.

Output
Space group: P-62m (189)
Raw total energy in eV/atom: -6.054
Crystal system: hexagonal

```
&SYSTEM
  ibrav = 0, nat = 9, ntyp = 4
/
ATOMIC_SPECIES
Y 88.91 Y.upf
Al 26.98 Al.upf
Sn 118.71 Sn.upf
Ir 192.22 Ir.upf
ATOMIC_POSITIONS angstrom
Y -2.814 4.874 0.000
Y 1.274 2.207 0.000
Y 5.628 0.000 0.000
Al -1.535 2.659 1.615
Al 3.071 0.000 1.615
Al 2.553 4.422 1.615
Sn 0.000 0.000 1.615
Ir 0.000 4.721 0.000
Ir 4.089 2.360 0.000
CELL_PARAMETERS angstrom
8.177 0.000 0.000
-4.089 7.081 0.000
0.000 0.000 3.229
```



(17)
First-principles (PBE) data for a geometry-optimized Sr2AlIr structure, as listed in OQMD via LeMat-Bulk. Values from VASP.

Output
Space group: F-43m (216)
Raw total energy in eV/atom: -3.885
Crystal system: cubic

```
&SYSTEM
  ibrav = 0, nat = 4, ntyp = 3
/
ATOMIC_SPECIES
Sr 87.62 Sr.upf
Al 26.98 Al.upf
Ir 192.22 Ir.upf
ATOMIC_POSITIONS angstrom
Sr 0.000 0.000 0.000
Sr 1.806 1.806 1.806
Al 3.611 3.611 3.611
Ir 5.417 5.417 5.417
CELL_PARAMETERS angstrom
0.000 3.611 3.611
3.611 0.000 3.611
3.611 3.611 0.000
```



(18)
First-principles (PBE) data for a geometry-optimized SrAl2Ir structure, as listed in OQMD via LeMat-Bulk. Values from VASP.

Output
Space group: F-43m (216)
Raw total energy in eV/atom: -4.447
Crystal system: cubic

```
&SYSTEM
  ibrav = 0, nat = 4, ntyp = 3
/
ATOMIC_SPECIES
Sr 87.62 Sr.upf
Al 26.98 Al.upf
Ir 192.22 Ir.upf
ATOMIC_POSITIONS angstrom
Sr 0.000 0.000 0.000
Al 3.390 3.390 3.390
Al 5.085 5.085 5.085
Ir 1.695 1.695 1.695
CELL_PARAMETERS angstrom
0.000 3.390 3.390
3.390 0.000 3.390
3.390 3.390 0.000
```



(19)
First-principles (PBE) data for a geometry-optimized TaAlIr2 structure, as listed in OQMD via LeMat-Bulk. Values from VASP.

Output
Space group: F-43m (216)
Raw total energy in eV/atom: -8.539
Crystal system: cubic

```
&SYSTEM
  ibrav = 0, nat = 4, ntyp = 3
/
ATOMIC_SPECIES
Ta 180.95 Ta.upf
Al 26.98 Al.upf
Ir 192.22 Ir.upf
ATOMIC_POSITIONS angstrom
Ta 0.000 0.000 0.000
Al 4.713 4.713 4.713
Ir 1.571 1.571 1.571
Ir 3.142 3.142 3.142
CELL_PARAMETERS angstrom
0.000 3.142 3.142
3.142 0.000 3.142
3.142 3.142 0.000
```



(20)
First-principles (PBE) data for a geometry-optimized TaAl2Ir structure, as listed in OQMD via LeMat-Bulk. Values from VASP.

Output
Space group: F-43m (216)
Raw total energy in eV/atom: -7.343
Crystal system: cubic

```
&SYSTEM
  ibrav = 0, nat = 4, ntyp = 3
/
ATOMIC_SPECIES
Ta 180.95 Ta.upf
Al 26.98 Al.upf
Ir 192.22 Ir.upf
ATOMIC_POSITIONS angstrom
Ta 0.000 0.000 0.000
Al 3.161 3.161 3.161
Al 4.742 4.742 4.742
Ir 1.581 1.581 1.581
CELL_PARAMETERS angstrom
0.000 3.161 3.161
3.161 0.000 3.161
3.161 3.161 0.000
```